{
  "formula": "DyNi2AsO6",
  "functional": "PBE+U",
  "state": "optimized geometry",
  "m_tot_mub_per_cell": 4.00,
  "total_energy_ev_per_atom": -6.1656,
  "cell": [[-3.085, 4.168, -0.503], [-4.371, -0.318, -2.818], [-4.874, -0.020, 2.746]],
  "species": ["Dy", "Ni", "Ni", "As", "O", "O", "O", "O", "O", "O"],
  "fractional_positions": [[0.808, 0.808, 0.577], [0.523, 0.523, 0.431], [0.014, 0.014, 0.959], [0.322, 0.322, 0.034], [0.575, 0.237, 0.232], [0.237, 0.956, 0.232], [0.956, 0.575, 0.232], [0.388, 0.697, 0.773], [0.697, 0.142, 0.773], [0.142, 0.388, 0.773]]
}